Entry 1:
Density functional theory data (GGA-PBE) for crystalline Pm4Dy3Ho8 at its relaxed geometry.

Structure (POSCAR):
```
Pm4Dy3Ho8
1.0
6.108 0.000 3.294
2.166 5.711 3.294
-2.555 -1.764 12.048
Ho Dy Pm
8 3 4
Direct
0.250 0.250 0.747 Ho
0.247 0.750 0.253 Ho
0.753 0.250 0.747 Ho
0.750 0.247 0.253 Ho
0.750 0.750 0.253 Ho
0.755 0.755 0.735 Ho
0.245 0.245 0.265 Ho
0.250 0.753 0.747 Ho
0.500 0.000 0.500 Dy
0.000 0.000 0.500 Dy
0.000 0.500 0.500 Dy
0.500 0.500 0.500 Pm
0.663 0.663 0.010 Pm
0.337 0.337 0.990 Pm
0.000 0.000 0.000 Pm
```

Values from the calculation:
* formation enthalpy at 0 K: 124 meV per atom
* symmetry: R-3m, No. 166
* D(E_F): 22.3 states/eV per cell
* distance to the lowest polymorph of the same formula: 0 meV/atom


Entry 2:
Density functional theory data (GGA-PBE) for crystalline Pm8Dy2Ho at its relaxed geometry.

Structure (POSCAR):
```
Pm8Dy2Ho
1.0
-3.276 4.551 3.691
1.894 0.847 10.113
5.106 5.828 6.823
Pm Ho Dy
8 1 2
Direct
0.230 0.825 0.349 Pm
0.727 0.593 0.593 Pm
0.829 0.244 0.244 Pm
0.770 0.651 0.175 Pm
0.171 0.756 0.756 Pm
0.230 0.349 0.825 Pm
0.770 0.175 0.651 Pm
0.273 0.407 0.407 Pm
0.000 0.000 0.000 Ho
0.589 0.803 0.803 Dy
0.411 0.197 0.197 Dy
```

Values from the calculation:
* formation enthalpy at 0 K: 168 meV per atom
* symmetry: C2/m, No. 12
* D(E_F): 17.9 states/eV per cell
* distance to the lowest polymorph of the same formula: 47 meV/atom


Entry 3:
Density functional theory data (GGA-PBE) for crystalline Pm4Dy19Ho6 at its relaxed geometry.

Structure (POSCAR):
```
Pm4Dy19Ho6
1.0
-3.638 -7.725 6.590
4.617 -4.522 -8.637
7.260 6.044 5.207
Pm Dy Ho
4 19 6
Direct
0.641 0.000 0.000 Pm
0.359 0.359 0.359 Pm
0.000 0.641 0.000 Pm
0.000 0.000 0.641 Pm
0.738 0.738 0.000 Dy
0.986 0.326 0.784 Dy
0.014 0.798 0.340 Dy
0.542 0.202 0.216 Dy
0.674 0.660 0.458 Dy
0.340 0.014 0.798 Dy
0.326 0.784 0.986 Dy
0.262 0.000 0.262 Dy
0.216 0.542 0.202 Dy
0.784 0.986 0.326 Dy
0.000 0.262 0.262 Dy
0.000 0.738 0.738 Dy
0.000 0.000 0.000 Dy
0.738 0.000 0.738 Dy
0.660 0.458 0.674 Dy
0.798 0.340 0.014 Dy
0.202 0.216 0.542 Dy
0.262 0.262 0.000 Dy
0.458 0.674 0.660 Dy
0.874 0.374 0.500 Ho
0.374 0.500 0.874 Ho
0.500 0.874 0.374 Ho
0.126 0.626 0.500 Ho
0.500 0.126 0.626 Ho
0.626 0.500 0.126 Ho
```

Values from the calculation:
* formation enthalpy at 0 K: 391 meV per atom
* symmetry: I23, No. 197
* D(E_F): 43.5 states/eV per cell